First-principles (GGA-PBE) data for crystalline PmPrDyGa at its relaxed geometry, as listed in Alexandria via LeMat-Bulk.

Calculated values
The electronic total energy is -4.343 eV/atom. Its density of states at the Fermi level is 5.5 states/eV/f.u. As for the formation energy: -0.053 eV per atom. As for the calculated volume: 454.2 Å³/cell.

```
data_PmPrDyGa
_cell_length_a 7.6871
_cell_length_b 7.6871
_cell_length_c 7.6871
_cell_angle_alpha 90.00
_cell_angle_beta 90.00
_cell_angle_gamma 90.00
_symmetry_space_group_name_H-M 'F -4 3 m'
_symmetry_Int_Tables_number 216
_symmetry_space_group_name_Hall 'F -4 2 3'
loop_
_atom_site_label
_atom_site_type_symbol
_atom_site_fract_x
_atom_site_fract_y
_atom_site_fract_z
Pm1 Pm 0.0000 0.0000 0.0000
Pr1 Pr 0.2500 0.2500 0.7500
Dy1 Dy 0.2500 0.2500 0.2500
Ga1 Ga 0.0000 0.0000 0.5000
```